A plane-wave DFT calculation with SCAN was carried out for a PBEsol-optimized structure of Li3Hg4.

Cell lengths 5.344, 5.401, 5.401 Å; angles 120.00, 90.00, 90.00 degrees
Fractional coordinates of all 7 atoms:
Hg 0.500 0.333 0.667
Hg 0.250 0.000 0.000
Hg 0.500 0.667 0.333
Hg 0.750 0.000 0.000
Li 0.000 0.500 0.000
Li 0.000 0.500 0.500
Li 0.000 0.000 0.500

Calculated values
Magnetic moment ... 0.000 μB per atom
Calculated total energy ... -40.17 eV per atom



A plane-wave DFT calculation with SCAN was carried out for a PBEsol-optimized structure of CaMg2P.

Cell lengths 4.047, 5.460, 5.460 Å; angles 119.54, 90.00, 90.00 degrees
Fractional coordinates of all 4 atoms:
Mg 0.000 0.169 0.331
Mg 0.000 0.831 0.669
P 0.500 0.000 0.500
Ca 0.500 0.500 0.000

Calculated values
Magnetic moment ... 0.000 μB per atom
Calculated total energy ... -7.97 eV per atom